[1]
# BaScP2

BaScP2 after structural relaxation (PBEsol, the Alexandria database).

abc: 7.252 7.252 7.252
angles: 32.63 32.63 32.63
Fractional positions:
Ba1 0.000 0.000 0.000
Sc1 0.500 0.500 0.500
P1 0.229 0.229 0.229
P2 0.771 0.771 0.771

Properties
ρ   4.1 Mg/m³
Final energy   -6.09 eV per atom
Crystal system   trigonal
Polymorph energy (0 for the lowest one)   0 meV/atom
E_form   -1.00 eV/atom

[2]
# KLa2Mo

KLa2Mo after structural relaxation (PBEsol, the Alexandria database).

abc: 3.540 3.540 10.709
angles: 90.00 90.00 90.00
Fractional positions:
K1 0.000 0.000 0.000
La1 0.500 0.500 0.337
La2 0.500 0.500 0.663
Mo1 0.000 0.000 0.500

Properties
ρ   5.1 Mg/m³
Final energy   -5.49 eV per atom
Crystal system   tetragonal
E_form   0.41 eV/atom

[3]
# Y2MgAs2

Y2MgAs2 after structural relaxation (PBEsol, the Alexandria database).

abc: 7.531 7.531 3.854
angles: 90.00 90.00 90.00
Fractional positions:
Y1 0.156 0.344 0.000
Y2 0.344 0.844 0.000
Y3 0.656 0.156 0.000
Y4 0.844 0.656 0.000
Mg1 0.000 0.000 0.500
Mg2 0.500 0.500 0.500
As1 0.152 0.652 0.500
As2 0.348 0.152 0.500
As3 0.652 0.848 0.500
As4 0.848 0.348 0.500

Properties
ρ   5.3 Mg/m³
Final energy   -6.28 eV per atom
Crystal system   tetragonal
E_form   -1.17 eV/atom

Q: Look up the final energy of the second one.
A: -5.49 eV per atom

Q: Number 2 is which compound?
A: KLa2Mo

Q: Number 2 is which compound?
A: KLa2Mo

Q: Which of these has the lowest E_form?
A: Y2MgAs2